DFT (GGA-PBE) results for Mg4Si3 after structural relaxation.

Unit cell a=7.9809 b=7.9809 c=5.2658 alpha=105.82 beta=105.82 gamma=114.22
Closest atoms and distances in Å follow each position.
Atoms (fractional coordinates):
Mg: 0.0000 0.0000 0.0000  5 Si 2.76-2.86, 4 Mg 2.94-3.07
Mg: 0.0553 0.6837 0.1227  5 Si 2.71-3.01, 1 Mg 2.94
Mg: 0.0589 0.3026 0.7272  6 Si 2.66-2.89
Mg: 0.3026 0.0589 0.7272  6 Si 2.66-2.89
Mg: 0.5134 0.7962 0.4433  5 Si 2.82-3.15, 2 Mg 3.13-3.15
Mg: 0.5481 0.5481 0.8622  5 Si 2.83-2.96
Mg: 0.6837 0.0553 0.1227  5 Si 2.71-3.01, 1 Mg 2.94
Mg: 0.7962 0.5134 0.4433  5 Si 2.82-3.15, 2 Mg 3.13-3.15
Si: 0.0995 0.4100 0.3008  2 Si 2.46-2.53, 2 Mg 2.66-2.71
Si: 0.2794 0.7163 0.7947  1 Si 2.53, 3 Mg 2.79-2.82
Si: 0.3729 0.3729 0.2163  2 Si 2.46
Si: 0.4100 0.0995 0.3008  2 Si 2.46-2.53, 2 Mg 2.66-2.71
Si: 0.7163 0.2794 0.7947  1 Si 2.53, 3 Mg 2.79-2.82
Si: 0.8786 0.8786 0.3942  9 Mg 2.76-2.85

## Properties
Energy above the most stable polymorph in this dataset ... 0.39 eV/f.u.
Calculated density ... 2.3 Mg/m³
Formation energy (no corrections) ... 24 meV/atom

=====

DFT (GGA-PBE) results for Ba2NdTmS4 after structural relaxation.

Unit cell a=7.2068 b=4.1568 c=7.5280 alpha=90.00 beta=108.54 gamma=90.00
Closest atoms and distances in Å follow each position.
Atoms (fractional coordinates):
Ba: 0.0000 0.0000 0.0000  6 S 3.21
Ba: 0.5000 0.5000 0.0000  6 S 3.12
Nd: 0.0000 0.5000 0.5000  6 S 2.88-2.89
Tm: 0.5000 0.0000 0.5000  6 S 2.78-2.80
S: 0.2494 0.0000 0.7143  1 Tm 2.78, 2 Nd 2.88
S: 0.2738 0.5000 0.2914  2 Tm 2.80, 1 Nd 2.89, 1 Ba 3.12
S: 0.7262 0.5000 0.7086  2 Tm 2.80, 1 Nd 2.89, 1 Ba 3.12
S: 0.7506 0.0000 0.2857  1 Tm 2.78, 2 Nd 2.88

## Properties
Calculated density ... 5.6 Mg/m³
Formation energy (no corrections) ... -1995 meV/atom

=====

DFT (GGA-PBE) results for Na2NbSbAu after structural relaxation.

Unit cell a=6.0128 b=6.0128 c=5.2741 alpha=90.00 beta=90.00 gamma=90.00
Closest atoms and distances in Å follow each position.
Atoms (fractional coordinates):
Na: 0.0000 0.5000 0.0000  2 Nb 3.01
Na: 0.5000 0.0000 0.0000  2 Nb 3.01
Nb: 0.0000 0.0000 0.0000  2 Sb 2.64
Sb: 0.0000 0.0000 0.5000  2 Nb 2.64
Au: 0.5000 0.5000 0.5000  8 Na 4.00, 4 Sb 4.25

## Properties
Calculated density ... 4.0 Mg/m³
Formation energy (no corrections) ... 904 meV/atom

=====

DFT (GGA-PBE) results for Ca2Mg5Zn5 after structural relaxation.

Unit cell a=4.6160 b=5.5641 c=10.0608 alpha=90.00 beta=90.00 gamma=90.00
Closest atoms and distances in Å follow each position.
Atoms (fractional coordinates):
Ca: 0.0000 0.0000 0.0000  6 Mg 3.23-3.24, 12 Zn 3.61-3.62
Ca: 0.0000 0.5000 0.5000  10 Mg 3.31-3.61
Mg: 0.0000 0.0000 0.3210  4 Zn 2.81, 2 Mg 2.93
Mg: 0.0000 0.0000 0.6790  4 Zn 2.81, 2 Mg 2.93
Mg: 0.0000 0.5000 0.1650  6 Zn 2.80-2.84
Mg: 0.0000 0.5000 0.8350  6 Zn 2.80-2.84
Mg: 0.5000 0.0000 0.5000  4 Mg 2.93, 4 Zn 2.96
Zn: 0.5000 0.2496 0.2398  3 Zn 2.78-2.79, 5 Mg 2.80-2.96
Zn: 0.5000 0.2496 0.7602  3 Zn 2.78-2.79, 5 Mg 2.80-2.96
Zn: 0.5000 0.5000 0.0000  4 Zn 2.79, 4 Mg 2.84
Zn: 0.5000 0.7504 0.2398  3 Zn 2.78-2.79, 5 Mg 2.80-2.96
Zn: 0.5000 0.7504 0.7602  3 Zn 2.78-2.79, 5 Mg 2.80-2.96

## Properties
Calculated density ... 3.4 Mg/m³
ΔH_f (0 K) ... -116 meV/atom

=====

DFT (GGA-PBE) results for CrFeBr2 after structural relaxation.

Unit cell a=4.4422 b=3.4030 c=6.9266 alpha=90.00 beta=105.60 gamma=90.00
Closest atoms and distances in Å follow each position.
Atoms (fractional coordinates):
Cr: 0.0000 0.0000 0.0000  2 Fe 2.40, 3 Br 2.50-2.62
Fe: 0.3567 0.5000 0.9541  2 Cr 2.40, 3 Br 2.46-2.59
Br: 0.5118 0.0000 0.7163  1 Cr 2.50, 2 Fe 2.59
Br: 0.8280 0.5000 0.2383  1 Fe 2.46, 2 Cr 2.62

## Properties
Energy above the most stable polymorph in this dataset ... 0.00 eV/f.u.
Calculated density ... 4.4 Mg/m³
Formation energy (no corrections) ... 63 meV/atom

=====

DFT (GGA-PBE) results for Cd2Cu after structural relaxation.

Unit cell a=4.6537 b=4.6537 c=5.8617 alpha=90.00 beta=90.00 gamma=120.00
Closest atoms and distances in Å follow each position.
Atoms (fractional coordinates):
Cd: 0.0000 0.0000 0.0000  8 Cd 2.93-3.06, 6 Cu 3.06
Cd: 0.0000 0.0000 0.5000  8 Cd 2.93-3.06, 6 Cu 3.06
Cd: 0.3333 0.6667 0.2500  5 Cu 2.69-2.93
Cd: 0.6667 0.3333 0.7500  5 Cu 2.69-2.93
Cu: 0.3333 0.6667 0.7500  5 Cd 2.69-2.93
Cu: 0.6667 0.3333 0.2500  5 Cd 2.69-2.93

## Properties
Calculated density ... 8.7 Mg/m³
ΔH_f (0 K) ... 102 meV/atom

=====

DFT (GGA-PBE) results for PrSmTh2Bi4 after structural relaxation.

Unit cell a=7.9618 b=7.9618 c=7.9618 alpha=131.77 beta=131.77 gamma=70.59
Closest atoms and distances in Å follow each position.
Atoms (fractional coordinates):
Pr: 0.0000 0.0000 0.0000  6 Bi 3.25-3.26
Sm: 0.7500 0.2500 0.5000  6 Bi 3.24-3.25
Th: 0.2500 0.7500 0.5000  6 Bi 3.25-3.26
Th: 0.5000 0.5000 0.0000  6 Bi 3.23-3.25
Bi: 0.2512 0.2512 0.0000  3 Th 3.23-3.25, 2 Sm 3.25, 1 Pr 3.26
Bi: 0.5005 0.0005 0.5000  1 Sm 3.24, 3 Th 3.25-3.26, 2 Pr 3.25
Bi: 0.7488 0.7488 0.0000  3 Th 3.23-3.25, 2 Sm 3.25, 1 Pr 3.26
Bi: 0.9995 0.4995 0.5000  1 Sm 3.24, 3 Th 3.25-3.26, 2 Pr 3.25

## Properties
Calculated density ... 9.6 Mg/m³
ΔH_f (0 K) ... -765 meV/atom

=====

DFT (GGA-PBE) results for Na2LiBeSb2 after structural relaxation.

Unit cell a=8.6498 b=8.6498 c=8.6498 alpha=138.70 beta=59.65 gamma=138.94
Closest atoms and distances in Å follow each position.
Atoms (fractional coordinates):
Na: 0.1767 0.2262 0.4029  5 Sb 3.19-3.28, 2 Li 3.35, 2 Be 3.48
Na: 0.3233 0.7262 0.0494  5 Sb 3.19-3.28, 2 Li 3.35, 2 Be 3.48
Na: 0.6767 0.2738 0.9506  5 Sb 3.19-3.28, 2 Li 3.35, 2 Be 3.48
Na: 0.8233 0.7738 0.5971  5 Sb 3.19-3.28, 2 Li 3.35, 2 Be 3.48
Li: 0.2500 0.2500 0.0000  4 Sb 2.79, 2 Li 3.03, 2 Be 3.05
Li: 0.7500 0.7500 0.0000  4 Sb 2.79, 2 Li 3.03, 2 Be 3.05
Be: 0.2500 0.7500 0.5000  4 Sb 2.57
Be: 0.7500 0.2500 0.5000  4 Sb 2.57
Sb: 0.1057 0.7182 0.8239  2 Be 2.57, 2 Li 2.79
Sb: 0.3943 0.2182 0.6125  2 Be 2.57, 2 Li 2.79
Sb: 0.6057 0.7818 0.3875  2 Be 2.57, 2 Li 2.79
Sb: 0.8943 0.2818 0.1761  2 Be 2.57, 2 Li 2.79

## Properties
Calculated density ... 3.7 Mg/m³
Formation energy (no corrections) ... -290 meV/atom

=====

DFT (GGA-PBE) results for TbPr6Zn after structural relaxation.

Unit cell a=6.4804 b=6.4816 c=6.4822 alpha=96.02 beta=96.15 gamma=96.03
Closest atoms and distances in Å follow each position.
Atoms (fractional coordinates):
Tb: 0.0000 0.0000 0.0000  12 Pr 3.60-3.74
Pr: 0.0747 0.5476 0.2643  1 Zn 3.07, 2 Pr 3.40-3.43
Pr: 0.2643 0.0750 0.5470  1 Zn 3.07, 2 Pr 3.40-3.43
Pr: 0.4528 0.7355 0.9253  1 Zn 3.07, 2 Pr 3.39-3.44
Pr: 0.5472 0.2645 0.0747  1 Zn 3.07, 2 Pr 3.39-3.44
Pr: 0.7357 0.9250 0.4530  1 Zn 3.07, 2 Pr 3.40-3.43
Pr: 0.9253 0.4524 0.7357  1 Zn 3.07, 2 Pr 3.40-3.43
Zn: 0.5000 0.5000 0.5000  6 Pr 3.07

## Properties
Calculated density ... 6.6 Mg/m³
ΔH_f (0 K) ... 21 meV/atom

=====

DFT (GGA-PBE) results for Dy6Os2Rh after structural relaxation.

Unit cell a=6.6432 b=7.3848 c=11.2402 alpha=90.00 beta=123.97 gamma=90.00
Closest atoms and distances in Å follow each position.
Atoms (fractional coordinates):
Dy: 0.0748 0.0437 0.2389  1 Rh 2.73, 2 Os 2.77-2.78
Dy: 0.0748 0.4563 0.7389  1 Rh 2.73, 2 Os 2.77-2.78
Dy: 0.2201 0.6693 0.0691  1 Rh 2.69, 1 Os 2.95
Dy: 0.2201 0.8307 0.5691  1 Rh 2.69, 1 Os 2.95
Dy: 0.3974 0.1705 0.0701  1 Rh 2.76, 2 Os 2.84-3.02
Dy: 0.3974 0.3295 0.5701  1 Rh 2.76, 2 Os 2.84-3.02
Dy: 0.6026 0.6705 0.4299  1 Rh 2.76, 2 Os 2.84-3.02
Dy: 0.6026 0.8295 0.9299  1 Rh 2.76, 2 Os 2.84-3.02
Dy: 0.7799 0.1693 0.4309  1 Rh 2.69, 1 Os 2.95
Dy: 0.7799 0.3307 0.9309  1 Rh 2.69, 1 Os 2.95
Dy: 0.9252 0.5437 0.2611  1 Rh 2.73, 2 Os 2.77-2.78
Dy: 0.9252 0.9563 0.7611  1 Rh 2.73, 2 Os 2.77-2.78
Os: 0.3030 0.1277 0.7679  7 Dy 2.77-3.11
Os: 0.3030 0.3723 0.2679  7 Dy 2.77-3.11
Os: 0.6970 0.6277 0.7321  7 Dy 2.77-3.11
Os: 0.6970 0.8723 0.2321  7 Dy 2.77-3.11
Rh: 0.5000 0.0000 0.5000  6 Dy 2.69-2.76
Rh: 0.5000 0.5000 0.0000  6 Dy 2.69-2.76

## Properties
Calculated density ... 10.6 Mg/m³
ΔH_f (0 K) ... -315 meV/atom

=====

DFT (GGA-PBE) results for KGeBr2 after structural relaxation.

Unit cell a=9.8417 b=9.8417 c=9.8417 alpha=24.95 beta=24.95 gamma=24.95
Closest atoms and distances in Å follow each position.
Atoms (fractional coordinates):
K: 0.0000 0.0000 0.0000  6 Br 3.22
Ge: 0.5000 0.5000 0.5000  2 Br 2.68
Br: 0.4064 0.4064 0.4064  1 Ge 2.68
Br: 0.5936 0.5936 0.5936  1 Ge 2.68

## Properties
Calculated density ... 3.0 Mg/m³
Formation energy (no corrections) ... -650 meV/atom

=====

DFT (GGA-PBE) results for KPuCdF6 after structural relaxation.

Unit cell a=8.4528 b=8.4528 c=8.4528 alpha=122.29 beta=118.74 gamma=89.14
Closest atoms and distances in Å follow each position.
Atoms (fractional coordinates):
K: 0.2649 0.0149 0.2500  1 F 2.49
K: 0.7351 0.9851 0.7500  1 F 2.49
Pu: 0.0000 0.5000 0.5000  6 F 2.29-2.31
Pu: 0.5000 0.5000 0.0000  6 F 2.29-2.31
Cd: 0.0000 0.0000 0.5000  6 F 2.16-2.30
Cd: 0.0000 0.5000 0.0000  6 F 2.16-2.30
F: 0.0368 0.3924 0.2111  1 Pu 2.29, 1 Cd 2.30
F: 0.0368 0.8257 0.6443  1 Pu 2.29, 1 Cd 2.30
F: 0.0579 0.8079 0.2500  2 Cd 2.16
F: 0.3187 0.1743 0.7111  1 Pu 2.29, 1 Cd 2.30
F: 0.3187 0.6076 0.1443  1 Pu 2.29, 1 Cd 2.30
F: 0.3195 0.5695 0.7500  2 Pu 2.31
F: 0.6805 0.4305 0.2500  2 Pu 2.31
F: 0.6813 0.3924 0.8557  1 Pu 2.29, 1 Cd 2.30
F: 0.6813 0.8257 0.2889  1 Pu 2.29, 1 Cd 2.30
F: 0.9421 0.1921 0.7500  2 Cd 2.16
F: 0.9632 0.1743 0.3557  1 Pu 2.29, 1 Cd 2.30
F: 0.9632 0.6076 0.7889  1 Pu 2.29, 1 Cd 2.30

## Properties
Calculated density ... 4.0 Mg/m³
Formation energy (no corrections) ... -2890 meV/atom

=====

DFT (GGA-PBE) results for CaLaTc2 after structural relaxation.

Unit cell a=3.2299 b=3.2299 c=9.1260 alpha=90.00 beta=90.00 gamma=90.00
Closest atoms and distances in Å follow each position.
Atoms (fractional coordinates):
Ca: 0.0000 0.0000 0.0000  5 Tc 3.15-3.37, 4 Ca 3.23
La: 0.5000 0.5000 0.3862  5 Tc 3.19-3.44, 4 La 3.23
Tc: 0.0000 0.0000 0.6303  4 Tc 2.58
Tc: 0.5000 0.5000 0.7628  4 Tc 2.58

## Properties
Energy above the most stable polymorph in this dataset ... 0.00 eV/f.u.
Calculated density ... 6.5 Mg/m³
ΔH_f (0 K) ... 180 meV/atom

=====

DFT (GGA-PBE) results for TcHOs3 after structural relaxation.

Unit cell a=3.9097 b=3.9097 c=3.9097 alpha=90.00 beta=90.00 gamma=90.00
Closest atoms and distances in Å follow each position.
Atoms (fractional coordinates):
Tc: 0.0000 0.0000 0.0000  12 Os 2.76
H: 0.5000 0.5000 0.5000  6 Os 1.95
Os: 0.0000 0.5000 0.5000  2 H 1.95
Os: 0.5000 0.0000 0.5000  2 H 1.95
Os: 0.5000 0.5000 0.0000  2 H 1.95

## Properties
Energy above the most stable polymorph in this dataset ... 0.00 eV/f.u.
Calculated density ... 18.6 Mg/m³

=====

DFT (GGA-PBE) results for LaCdGa2Cu after structural relaxation.

Unit cell a=6.2604 b=6.2604 c=6.2604 alpha=138.97 beta=138.97 gamma=59.42
Closest atoms and distances in Å follow each position.
Atoms (fractional coordinates):
La: 0.0000 0.0000 0.0000  8 Ga 3.34, 4 Cu 3.49, 4 Cd 3.49
Cd: 0.2500 0.7500 0.5000  4 Ga 2.64
Ga: 0.3858 0.3858 0.0000  1 Ga 2.48, 2 Cd 2.64, 2 Cu 2.64
Ga: 0.6142 0.6142 0.0000  1 Ga 2.48, 2 Cd 2.64, 2 Cu 2.64
Cu: 0.7500 0.2500 0.5000  4 Ga 2.64

## Properties
Calculated density ... 7.2 Mg/m³
ΔH_f (0 K) ... -404 meV/atom

=====

DFT (GGA-PBE) results for Ba2CoCu after structural relaxation.

Unit cell a=5.4843 b=5.4843 c=5.4843 alpha=60.00 beta=60.00 gamma=60.00
Closest atoms and distances in Å follow each position.
Atoms (fractional coordinates):
Ba: 0.2500 0.2500 0.2500  4 Cu 3.36, 4 Co 3.36
Ba: 0.7500 0.7500 0.7500  4 Cu 3.36, 4 Co 3.36
Co: 0.0000 0.0000 0.0000  8 Ba 3.36
Cu: 0.5000 0.5000 0.5000  8 Ba 3.36

## Properties
Energy above the most stable polymorph in this dataset ... 0.68 eV/f.u.
Calculated density ... 5.7 Mg/m³
ΔH_f (0 K) ... 406 meV/atom